P | A plane-wave DFT calculation with PBE was carried out for crystalline CaTaW2 at its relaxed geometry. Values from VASP.

Space group: No. 123
Volume, Å³/cell: 86.3
Total magnetic moment, μB/f.u.: 0.00

```
&SYSTEM
  ibrav = 0, nat = 4, ntyp = 3
/
ATOMIC_SPECIES
Ca 40.08 Ca.upf
Ta 180.95 Ta.upf
W 183.84 W.upf
ATOMIC_POSITIONS angstrom
Ca 0.000 0.000 0.000
Ta 0.000 0.000 3.424
W 1.775 1.775 2.212
W 1.775 1.775 4.637
CELL_PARAMETERS angstrom
3.550 0.000 0.000
0.000 3.550 0.000
0.000 0.000 6.849
```

Q | A plane-wave DFT calculation with PBE was carried out for crystalline CaTaW2 at its relaxed geometry. Values from VASP.

Space group: No. 99
Volume, Å³/cell: 82.2
Total magnetic moment, μB/f.u.: 0.29

```
&SYSTEM
  ibrav = 0, nat = 4, ntyp = 3
/
ATOMIC_SPECIES
Ca 40.08 Ca.upf
Ta 180.95 Ta.upf
W 183.84 W.upf
ATOMIC_POSITIONS angstrom
Ca 0.000 0.000 0.000
Ta 1.616 1.616 2.590
W 0.000 0.000 4.163
W 1.616 1.616 5.573
CELL_PARAMETERS angstrom
3.233 0.000 0.000
0.000 3.233 0.000
0.000 0.000 7.867
```

R | A plane-wave DFT calculation with PBE was carried out for crystalline CaTaW2 at its relaxed geometry. Values from VASP.

Space group: No. 12
Volume, Å³/cell: 73.9
Total magnetic moment, μB/f.u.: 0.00

```
&SYSTEM
  ibrav = 0, nat = 4, ntyp = 3
/
ATOMIC_SPECIES
Ca 40.08 Ca.upf
Ta 180.95 Ta.upf
W 183.84 W.upf
ATOMIC_POSITIONS angstrom
Ca 0.000 0.000 0.000
Ta 2.922 0.000 0.000
W 1.059 2.402 1.316
W 1.059 -2.402 1.316
CELL_PARAMETERS angstrom
2.922 -4.804 0.000
2.922 4.804 0.000
-0.805 0.000 2.632
```

S | A plane-wave DFT calculation with PBE was carried out for crystalline CaTaW2 at its relaxed geometry. Values from VASP.

Space group: No. 225
Volume, Å³/cell: 74.5
Total magnetic moment, μB/f.u.: 0.00

```
&SYSTEM
  ibrav = 0, nat = 4, ntyp = 3
/
ATOMIC_SPECIES
Ca 40.08 Ca.upf
Ta 180.95 Ta.upf
W 183.84 W.upf
ATOMIC_POSITIONS angstrom
Ca 0.000 0.000 0.000
Ta 3.340 3.340 3.340
W 1.670 1.670 1.670
W 5.010 5.010 5.010
CELL_PARAMETERS angstrom
0.000 3.340 3.340
3.340 0.000 3.340
3.340 3.340 0.000
```

Relative energies, in meV per atom, with the most stable structure set to zero: P 39; Q 0; R 147; S 307.

P | A plane-wave DFT calculation with PBE was carried out for crystalline CaTaW at its relaxed geometry. Values from VASP.

Space group: No. 42
Volume, Å³/cell: 62.6
Total magnetic moment, μB/f.u.: 0.00

```
&SYSTEM
  ibrav = 0, nat = 3, ntyp = 3
/
ATOMIC_SPECIES
Ca 40.08 Ca.upf
Ta 180.95 Ta.upf
W 183.84 W.upf
ATOMIC_POSITIONS angstrom
Ca 0.000 0.000 0.000
Ta 1.678 2.485 4.634
W 1.678 2.485 10.140
CELL_PARAMETERS angstrom
0.000 2.485 7.505
1.678 0.000 7.505
1.678 2.485 0.000
```

Q | A plane-wave DFT calculation with PBE was carried out for crystalline CaTaW at its relaxed geometry. Values from VASP.

Space group: No. 216
Volume, Å³/cell: 69.5
Total magnetic moment, μB/f.u.: 0.00

```
&SYSTEM
  ibrav = 0, nat = 3, ntyp = 3
/
ATOMIC_SPECIES
Ca 40.08 Ca.upf
Ta 180.95 Ta.upf
W 183.84 W.upf
ATOMIC_POSITIONS angstrom
Ca 0.000 0.000 0.000
Ta 3.263 3.263 3.263
W 4.895 4.895 4.895
CELL_PARAMETERS angstrom
0.000 3.263 3.263
3.263 0.000 3.263
3.263 3.263 0.000
```

R | A plane-wave DFT calculation with PBE was carried out for crystalline CaTaW at its relaxed geometry. Values from VASP.

Space group: No. 44
Volume, Å³/cell: 64.0
Total magnetic moment, μB/f.u.: 0.00

```
&SYSTEM
  ibrav = 0, nat = 3, ntyp = 3
/
ATOMIC_SPECIES
Ca 40.08 Ca.upf
Ta 180.95 Ta.upf
W 183.84 W.upf
ATOMIC_POSITIONS angstrom
Ca 0.000 0.000 0.000
Ta 0.000 0.000 7.231
W 0.000 0.000 3.231
CELL_PARAMETERS angstrom
-1.382 2.231 5.188
1.382 -2.231 5.188
1.382 2.231 -5.188
```

S | A plane-wave DFT calculation with PBE was carried out for crystalline CaTaW at its relaxed geometry. Values from VASP.

Space group: No. 156
Volume, Å³/cell: 59.7
Total magnetic moment, μB/f.u.: 0.00

```
&SYSTEM
  ibrav = 0, nat = 3, ntyp = 3
/
ATOMIC_SPECIES
Ca 40.08 Ca.upf
Ta 180.95 Ta.upf
W 183.84 W.upf
ATOMIC_POSITIONS angstrom
Ca 0.000 0.000 0.000
Ta 2.444 1.411 1.161
W 0.000 2.822 1.764
CELL_PARAMETERS angstrom
4.888 0.000 0.000
-2.444 4.233 0.000
0.000 0.000 2.887
```

Relative energies, in meV per atom, with the most stable structure set to zero: P 0; Q 672; R 162; S 156.

P | A plane-wave DFT calculation with PBE was carried out for crystalline CaTaW at its relaxed geometry. Values from VASP.

Space group: No. 107
Volume, Å³/cell: 60.8
Total magnetic moment, μB/f.u.: 0.00

```
&SYSTEM
  ibrav = 0, nat = 3, ntyp = 3
/
ATOMIC_SPECIES
Ca 40.08 Ca.upf
Ta 180.95 Ta.upf
W 183.84 W.upf
ATOMIC_POSITIONS angstrom
Ca 0.000 0.000 0.000
Ta 0.000 0.000 10.754
W 0.000 0.000 5.204
CELL_PARAMETERS angstrom
-1.392 1.392 7.852
1.392 -1.392 7.852
1.392 1.392 -7.852
```

Q | A plane-wave DFT calculation with PBE was carried out for crystalline CaTaW at its relaxed geometry. Values from VASP.

Space group: No. 107
Volume, Å³/cell: 67.1
Total magnetic moment, μB/f.u.: 0.00

```
&SYSTEM
  ibrav = 0, nat = 3, ntyp = 3
/
ATOMIC_SPECIES
Ca 40.08 Ca.upf
Ta 180.95 Ta.upf
W 183.84 W.upf
ATOMIC_POSITIONS angstrom
Ca 0.000 0.000 0.000
Ta 0.000 0.000 3.303
W 0.000 0.000 7.896
CELL_PARAMETERS angstrom
-1.717 1.717 5.692
1.717 -1.717 5.692
1.717 1.717 -5.692
```

Relative energies, in meV per atom, with the most stable structure set to zero: P 250; Q 0.

P | A plane-wave DFT calculation with PBE was carried out for crystalline Ca2YTa at its relaxed geometry. Values from VASP.

Space group: No. 25
Volume, Å³/cell: 122.8
Total magnetic moment, μB/f.u.: 0.00

```
&SYSTEM
  ibrav = 0, nat = 4, ntyp = 3
/
ATOMIC_SPECIES
Ca 40.08 Ca.upf
Y 88.91 Y.upf
Ta 180.95 Ta.upf
ATOMIC_POSITIONS angstrom
Ca 0.000 0.000 0.000
Ca 1.713 2.177 2.664
Y 0.000 0.000 4.900
Ta 1.713 2.177 6.255
CELL_PARAMETERS angstrom
3.426 0.000 0.000
0.000 4.355 0.000
0.000 0.000 8.231
```

Q | A plane-wave DFT calculation with PBE was carried out for crystalline Ca2YTa at its relaxed geometry. Values from VASP.

Space group: No. 166
Volume, Å³/cell: 115.1
Total magnetic moment, μB/f.u.: 0.00

```
&SYSTEM
  ibrav = 0, nat = 4, ntyp = 3
/
ATOMIC_SPECIES
Ca 40.08 Ca.upf
Y 88.91 Y.upf
Ta 180.95 Ta.upf
ATOMIC_POSITIONS angstrom
Ca 0.000 0.000 8.534
Ca 0.000 0.000 26.982
Y 0.000 0.000 0.000
Ta 0.000 0.000 17.758
CELL_PARAMETERS angstrom
1.676 0.967 11.839
-1.676 0.967 11.839
0.000 -1.935 11.839
```

Relative energies, in meV per atom, with the most stable structure set to zero: P 0; Q 91.

P | A plane-wave DFT calculation with PBE was carried out for crystalline Ca2YTa at its relaxed geometry. Values from VASP.

Space group: No. 44
Volume, Å³/cell: 122.2
Total magnetic moment, μB/f.u.: 0.98

```
&SYSTEM
  ibrav = 0, nat = 4, ntyp = 3
/
ATOMIC_SPECIES
Ca 40.08 Ca.upf
Y 88.91 Y.upf
Ta 180.95 Ta.upf
ATOMIC_POSITIONS angstrom
Ca 0.000 0.000 0.000
Ca 0.000 3.031 2.592
Y 0.000 0.000 5.144
Ta 1.703 0.000 2.703
CELL_PARAMETERS angstrom
-1.703 3.031 5.920
1.703 -3.031 5.920
1.703 3.031 -5.920
```

Q | A plane-wave DFT calculation with PBE was carried out for crystalline Ca2YTa at its relaxed geometry. Values from VASP.

Space group: No. 65
Volume, Å³/cell: 113.7
Total magnetic moment, μB/f.u.: 0.00

```
&SYSTEM
  ibrav = 0, nat = 4, ntyp = 3
/
ATOMIC_SPECIES
Ca 40.08 Ca.upf
Y 88.91 Y.upf
Ta 180.95 Ta.upf
ATOMIC_POSITIONS angstrom
Ca 1.648 2.658 0.000
Ca 1.648 -2.658 0.000
Y 0.000 0.000 1.622
Ta 3.296 0.000 1.622
CELL_PARAMETERS angstrom
3.296 -5.316 0.000
3.296 5.316 0.000
0.000 0.000 3.244
```

Relative energies, in meV per atom, with the most stable structure set to zero: P 0; Q 74.